No. 1
A relaxed structure of PaNiPt3, computed with GGA-PBE.

a b c (Å): 4.7815 4.7815 4.7815
angles (deg): 68.81 68.81 68.81
Element x y z (fractional)
Pt 0.9213 0.9213 0.4262
Pt 0.4262 0.9213 0.9213
Pt 0.9213 0.4262 0.9213
Pa 0.3124 0.3124 0.3124
Ni 0.5439 0.5439 0.5439

energy of formation from the pure elements	-291	kJ/mol of formula units
ρ	15.858	Mg/m³
space-group type	No. 160

***

No. 2
A relaxed structure of PaNiPt, computed with GGA-PBE.

a b c (Å): 3.3936 3.9891 8.2741
angles (deg): 90.00 90.00 90.00
Element x y z (fractional)
Pa 0.0000 0.7500 0.7766
Pa 0.0000 0.2500 0.2234
Ni 0.5000 0.7500 0.0793
Ni 0.5000 0.2500 0.9207
Pt 0.5000 0.7500 0.3863
Pt 0.5000 0.2500 0.6137

energy of formation from the pure elements	-190	kJ/mol of formula units
ρ	14.375	Mg/m³
space-group type	No. 51

***

No. 3
A relaxed structure of Pa3Ni2Pt3, computed with GGA-PBE.

a b c (Å): 3.9370 5.7294 14.3248
angles (deg): 90.00 90.00 110.18
Element x y z (fractional)
Ni 0.1632 0.3276 0.3349
Ni 0.1632 0.3276 0.1651
Ni 0.8368 0.6724 0.6651
Ni 0.8368 0.6724 0.8349
Pt 0.2266 0.4526 0.7500
Pt 0.9439 0.8871 0.4079
Pt 0.9439 0.8871 0.0921
Pt 0.7734 0.5474 0.2500
Pt 0.0561 0.1129 0.5921
Pt 0.0561 0.1129 0.9079
Pa 0.3389 0.6775 0.9581
Pa 0.6611 0.3225 0.0419
Pa 0.5332 0.0664 0.7500
Pa 0.6611 0.3225 0.4581
Pa 0.4668 0.9336 0.2500
Pa 0.3389 0.6775 0.5419

energy of formation from the pure elements	-508	kJ/mol of formula units
ρ	15.284	Mg/m³
space-group type	No. 11

***

No. 4
A relaxed structure of PaNiPtRh, computed with GGA-PBE.

a b c (Å): 4.6115 4.6115 4.6115
angles (deg): 60.00 60.00 60.00
Element x y z (fractional)
Ni 0.5000 0.5000 0.5000
Pa 0.0000 0.0000 0.0000
Rh 0.2500 0.2500 0.2500
Pt 0.7500 0.7500 0.7500

energy of formation from the pure elements	-208	kJ/mol of formula units
ρ	14.074	Mg/m³
space-group type	No. 216

***

No. 5
A relaxed structure of PaNiPtRh, computed with GGA-PBE.

a b c (Å): 4.0079 3.9484 4.1823
angles (deg): 90.00 90.00 90.00
Element x y z (fractional)
Ni 0.5000 0.5000 0.0000
Pt 0.0000 0.0000 0.0000
Rh 0.0000 0.5000 0.5000
Pa 0.5000 0.0000 0.5000

energy of formation from the pure elements	-334	kJ/mol of formula units
ρ	14.746	Mg/m³
space-group type	No. 47

***

No. 6
A relaxed structure of Pa2Si4Ni3Pt, computed with GGA-PBE.

a b c (Å): 4.0670 4.0670 9.4340
angles (deg): 90.00 90.00 90.00
Element x y z (fractional)
Si 0.5000 0.5000 0.0000
Si 0.0000 0.0000 0.0000
Si 0.0000 0.5000 0.3605
Si 0.5000 0.0000 0.6395
Ni 0.0000 0.5000 0.1189
Ni 0.5000 0.0000 0.8811
Ni 0.0000 0.0000 0.5000
Pa 0.5000 0.0000 0.2441
Pa 0.0000 0.5000 0.7559
Pt 0.5000 0.5000 0.5000

formation energy without anion corrections	-801	kJ/mol of formula units
ρ	10.063	Mg/m³
space-group type	No. 115